First-principles (PBE-GGA) data for a relaxed structure of CdSb3, as listed in the Alexandria database.

Values from the calculation:
**Polymorph energy (0 for the lowest one)**: 0.135 eV per atom
**Raw formation energy**: 0.1908 eV/atom
**Crystal system**: orthorhombic
**Total moment**: 0.00 μB/atom
**Total DFT energy (no corrections)**: -3.13 eV/atom

Cell: 3.2473 3.2473 10.5208 Å, 90.00 90.00 106.20°
With the nearest neighbours (Å) after each atom.
Fractional coordinates of all 4 atoms:
1 Sb 0.5000 0.5000 0.7586  2 Cd 3.20, 6 Sb 3.25-3.35
2 Cd 0.0000 0.0000 0.0000  4 Sb 3.20, 4 Cd 3.25
3 Sb 0.5000 0.5000 0.2414  2 Cd 3.20, 6 Sb 3.25-3.35
4 Sb 0.0000 0.0000 0.5000  8 Sb 3.25-3.35